No. 1
Compound: RbCa2V
Source: Alexandria via LeMat-Bulk
Functional: GGA-PBE
Structure: optimized geometry

Unit cell a=8.409 b=8.409 c=8.409 alpha=90.00 beta=90.00 gamma=90.00
Space group Fm-3m (No. 225)
Asymmetric unit:
Rb: 0.000 0.000 0.000 x4
Ca: 0.250 0.250 0.250 x8
V: 0.000 0.000 0.500 x4

Properties
* total DFT energy (no corrections): -44.1 eV for the cell shown
* formation enthalpy at 0 K: 765 meV/atom

No. 2
Compound: CeNdSi
Source: Alexandria via LeMat-Bulk
Functional: GGA-PBE
Structure: optimized geometry

Unit cell a=7.031 b=7.031 c=7.031 alpha=90.00 beta=90.00 gamma=90.00
Space group F-43m (No. 216)
Asymmetric unit:
Ce: 0.000 0.000 0.000 x4
Nd: 0.000 0.000 0.500 x4
Si: 0.250 0.250 0.250 x4

Properties
* total DFT energy (no corrections): -68.5 eV for the cell shown
* energy relative to the elements, uncorrected: -0.330 eV per atom

No. 3
Compound: KAlPb
Source: Alexandria via LeMat-Bulk
Functional: GGA-PBE
Structure: optimized geometry

Unit cell a=4.594 b=18.057 c=4.782 alpha=90.00 beta=90.00 gamma=90.00
Space group Cmcm (No. 63)
Asymmetric unit:
K: 0.000 0.089 0.250 x4
Al: 0.000 0.251 0.750 x4
Pb: 0.000 0.350 0.250 x4

Properties
* total DFT energy (no corrections): -34.8 eV for the cell shown
* formation enthalpy at 0 K: -49 meV/atom

No. 4
Compound: Na7CdHg3
Source: Alexandria via LeMat-Bulk
Functional: GGA-PBE
Structure: optimized geometry

Unit cell a=3.516 b=26.051 c=13.765 alpha=90.00 beta=90.00 gamma=90.00
Space group Cmcm (No. 63)
Asymmetric unit:
Na: 0.000 0.019 0.115 x8
Na: 0.000 0.100 0.750 x4
Na: 0.000 0.158 0.084 x8
Na: 0.000 0.294 0.120 x8
Cd: 0.000 0.401 0.750 x4
Hg: 0.000 0.284 0.750 x4
Hg: 0.000 0.417 0.053 x8

Properties
* total DFT energy (no corrections): -50.9 eV for the cell shown
* formation enthalpy at 0 K: -152 meV/atom

No. 5
Compound: PmPr2Ho4Tm
Source: Alexandria via LeMat-Bulk
Functional: GGA-PBE
Structure: optimized geometry

Unit cell a=6.804 b=11.872 c=13.260 alpha=90.00 beta=90.00 gamma=90.00
Space group Imma (No. 74)
Asymmetric unit:
Pm: 0.000 0.000 0.000 x4
Pr: 0.000 0.000 0.500 x4
Pr: 0.250 0.250 0.250 x4
Ho: 0.000 0.006 0.750 x8
Ho: 0.250 0.250 0.507 x8
Tm: 0.250 0.250 0.750 x4

Properties
* total DFT energy (no corrections): -135.2 eV for the cell shown
* formation enthalpy at 0 K: 413 meV/atom